# 1
First-principles (PBE) data for a relaxed MoPt2Br crystal, as listed in Alexandria.

Results
Energy relative to the lowest polymorph listed for this composition = 134 meV/atom
Total magnetization = 0.0 μB per cell
Fermi-level density of states = 4.21 states/eV/f.u.
Formation energy without anion corrections = 182 meV/atom
Final energy = -71.6 eV/cell

```
data_MoPt2Br
_chemical_formula_sum 'Mo3 Pt6 Br3'
_cell_length_a 2.8856
_cell_length_b 2.8856
_cell_length_c 29.4887
_cell_angle_alpha 90.00
_cell_angle_beta 90.00
_cell_angle_gamma 120.00
_symmetry_space_group_name_H-M 'R -3 m'
_symmetry_Int_Tables_number 166
_symmetry_space_group_name_Hall '-R 3 2"'
loop_
_atom_site_label
_atom_site_type_symbol
_atom_site_fract_x
_atom_site_fract_y
_atom_site_fract_z
Mo1 Mo 0.0000 0.0000 0.0000
Pt1 Pt 0.0000 0.0000 0.2603
Br1 Br 0.0000 0.0000 0.5000
```

# 2
First-principles (PBE) data for a relaxed ErHf2ScN4 crystal, as listed in Alexandria.

Results
Total magnetization = 0.0 μB per cell
Fermi-level density of states = 3.26 states/eV/f.u.
Formation energy without anion corrections = -1852 meV/atom
Final energy = -78.9 eV/cell

```
data_ErHf2ScN4
_chemical_formula_sum 'Er1 Hf2 Sc1 N4'
_cell_length_a 5.623
_cell_length_b 3.250
_cell_length_c 5.665
_cell_angle_alpha 90.00
_cell_angle_beta 109.40
_cell_angle_gamma 90.00
_symmetry_space_group_name_H-M 'P 1 2/m 1'
_symmetry_Int_Tables_number 10
loop_
_symmetry_equiv_pos_as_xyz
'x,y,z'
'-x,-y,-z'
'-x,y,-z'
'x,-y,z'
loop_
_atom_site_label
_atom_site_type_symbol
_atom_site_fract_x
_atom_site_fract_y
_atom_site_fract_z
Er1 Er 0.000 0.000 0.000
Hf1 Hf 0.000 0.500 0.500
Hf2 Hf 0.500 0.000 0.500
Sc1 Sc 0.500 0.500 0.000
N1 N 0.251 0.000 0.738
N2 N 0.260 0.500 0.266
```

# 3
First-principles (PBE) data for a relaxed SrCa2Er crystal, as listed in Alexandria.

Results
Energy relative to the lowest polymorph listed for this composition = 0 meV/atom
Total magnetization = 0.0 μB per cell
Fermi-level density of states = 5.81 states/eV/f.u.
ΔH_f (0 K) = 0.12 eV/atom
Final energy = -9.8 eV/cell

```
data_SrCa2Er
_chemical_formula_sum 'Sr1 Ca2 Er1'
_cell_length_a 4.005
_cell_length_b 4.005
_cell_length_c 10.185
_cell_angle_alpha 90.00
_cell_angle_beta 90.00
_cell_angle_gamma 90.00
_symmetry_space_group_name_H-M 'P 4/m m m'
_symmetry_Int_Tables_number 123
_symmetry_space_group_name_Hall '-P 4 2'
loop_
_atom_site_label
_atom_site_type_symbol
_atom_site_fract_x
_atom_site_fract_y
_atom_site_fract_z
Sr1 Sr 0.000 0.000 0.000
Ca1 Ca 0.500 0.500 0.282
Er1 Er 0.000 0.000 0.500
```

# 4
First-principles (PBE) data for a relaxed Sm8Ho2Zn crystal, as listed in Alexandria.

Results
Total magnetization = 0.0 μB per cell
Fermi-level density of states = 12.75 states/eV/f.u.
ΔH_f (0 K) = -0.02 eV/atom
Final energy = -96.7 eV/cell

```
data_Sm8Ho2Zn
_chemical_formula_sum 'Sm16 Ho4 Zn2'
_cell_length_a 19.185
_cell_length_b 5.604
_cell_length_c 6.491
_cell_angle_alpha 90.00
_cell_angle_beta 92.96
_cell_angle_gamma 90.00
_symmetry_space_group_name_H-M 'C 1 2/m 1'
_symmetry_Int_Tables_number 12
loop_
_symmetry_equiv_pos_as_xyz
'x,y,z'
'-x,-y,-z'
'-x,y,-z'
'x,-y,z'
'x+1/2,y+1/2,z'
'-x+1/2,-y+1/2,-z'
'-x+1/2,y+1/2,-z'
'x+1/2,-y+1/2,z'
loop_
_atom_site_label
_atom_site_type_symbol
_atom_site_fract_x
_atom_site_fract_y
_atom_site_fract_z
Sm1 Sm 0.040 0.000 0.251
Sm2 Sm 0.080 0.500 0.606
Sm3 Sm 0.156 0.500 0.118
Sm4 Sm 0.157 0.000 0.809
Ho1 Ho 0.237 0.000 0.334
Zn1 Zn 0.000 0.500 0.000
```